HgClF2 after structural relaxation. Source: the Alexandria database, functional PBE.

For the polymorph energy (0 for the lowest one), the calculation gives 6.70 kcal/mol of atoms. As for the total moment: 1.0 μB/f.u. For the uncorrected formation energy, the calculation gives -2.96 eV per formula unit. The total energy is -17.709 eV per cell.

The structure belongs to space group P2_1/m (No. 11); the cell edges are 4.515, 6.642 and 4.995 Å and the angles 90.00°, 105.99° and 90.00°. The distinct sites, in fractional coordinates, are Hg at (0.170, 0.250, 0.388), Cl at (0.499, 0.250, 0.006) and F at (0.185, 0.560, 0.357).